[1]
LiThTlSe3 | PBE | relaxed

a b c (Å): 4.3334 9.2140 9.4050
angles (deg): 103.80 90.00 90.00
Last column: nearest neighbours and their distance in Å.
Fractional coordinates of all 12 atoms:
1 Se 0.7500 0.4547 0.1611  3 Th 2.97-3.00
2 Li 0.2500 0.0788 0.5903  4 Se 2.57-2.59
3 Se 0.2500 0.1261 0.8728  1 Li 2.59
4 Se 0.2500 0.7975 0.4703  3 Li 2.57, 1 Th 2.84
5 Se 0.2500 0.5453 0.8389  3 Th 2.97-3.00
6 Li 0.7500 0.9212 0.4097  4 Se 2.57-2.59
7 Se 0.7500 0.2025 0.5297  3 Li 2.57, 1 Th 2.84
8 Th 0.2500 0.6761 0.1634  6 Se 2.84-3.00
9 Th 0.7500 0.3239 0.8366  6 Se 2.84-3.00
10 Se 0.7500 0.8739 0.1272  1 Li 2.59
11 Tl 0.2500 0.1922 0.2485  7 Se 3.40-3.61, 1 Li 3.61
12 Tl 0.7500 0.8078 0.7515  7 Se 3.40-3.61, 1 Li 3.61

## Properties
- calculated total energy (eV per atom) = -4.985
- N(E_F) (states/eV per cell) = 0.00
- SG = P2_1/m (11)
- formation energy from raw total energies (meV per atom) = -1293
- volume (Å³ per atom) = 30.4

***

[2]
LiTmTh2Se4 | PBE | relaxed

a b c (Å): 3.9289 6.7923 7.5655
angles (deg): 107.12 90.00 90.00
Last column: nearest neighbours and their distance in Å.
Fractional coordinates of all 8 atoms:
1 Th 0.5000 0.0000 0.5000  6 Se 3.04-3.06
2 Se 0.0000 0.7364 0.2231  2 Li 2.77, 1 Tm 2.80, 3 Th 2.99-3.04
3 Se 0.5000 0.7508 0.7767  1 Li 2.73, 2 Tm 2.81, 3 Th 3.01-3.06
4 Li 0.5000 0.5000 0.0000  6 Se 2.73-2.77
5 Se 0.5000 0.2492 0.2233  1 Li 2.73, 2 Tm 2.81, 3 Th 3.01-3.06
6 Tm 0.0000 0.0000 0.0000  6 Se 2.80-2.81
7 Th 0.0000 0.5000 0.5000  6 Se 2.99-3.01
8 Se 0.0000 0.2636 0.7769  2 Li 2.77, 1 Tm 2.80, 3 Th 2.99-3.04

## Properties
- calculated total energy (eV per atom) = -5.967
- N(E_F) (states/eV per cell) = 3.66
- SG = P2/m (10)
- formation energy from raw total energies (meV per atom) = -1572
- volume (Å³ per atom) = 24.1

***

[3]
LiTm2ThSe4 | PBE | relaxed

a b c (Å): 4.0166 7.1144 7.0074
angles (deg): 108.59 90.00 90.00
Last column: nearest neighbours and their distance in Å.
Fractional coordinates of all 8 atoms:
1 Th 0.0000 0.0000 0.0000  6 Se 2.93-2.95
2 Se 0.0000 0.2572 0.7464  3 Tm 2.81-2.89, 2 Li 2.87, 1 Th 2.93
3 Tm 0.5000 0.0000 0.5000  6 Se 2.89-2.93
4 Li 0.5000 0.5000 0.0000  6 Se 2.81-2.87
5 Tm 0.0000 0.5000 0.5000  6 Se 2.80-2.81
6 Se 0.0000 0.7428 0.2536  3 Tm 2.81-2.89, 2 Li 2.87, 1 Th 2.93
7 Se 0.5000 0.7322 0.7428  3 Tm 2.80-2.93, 1 Li 2.81, 2 Th 2.95
8 Se 0.5000 0.2678 0.2572  3 Tm 2.80-2.93, 1 Li 2.81, 2 Th 2.95

## Properties
- calculated total energy (eV per atom) = -5.643
- N(E_F) (states/eV per cell) = 4.48
- SG = P2/m (10)
- formation energy from raw total energies (meV per atom) = -1616
- volume (Å³ per atom) = 23.7

***

[4]
LiTm3Th3Se8 | PBE | relaxed

a b c (Å): 8.0965 8.0968 8.2520
angles (deg): 119.38 90.00 120.00
Last column: nearest neighbours and their distance in Å.
Fractional coordinates of all 15 atoms:
1 Se 0.7534 0.0106 0.2639  2 Tm 2.83, 1 Li 2.85, 2 Th 2.95
2 Se 0.7534 0.5069 0.2640  2 Tm 2.83, 1 Li 2.85, 2 Th 2.95
3 Th 0.5000 0.5000 0.0000  6 Se 2.95-2.98
4 Se 0.2466 0.4931 0.7360  2 Tm 2.83, 1 Li 2.85, 2 Th 2.95
5 Th 0.0000 0.0000 0.0000  6 Se 2.95-2.98
6 Se 0.7431 0.4862 0.7292  3 Tm 2.81, 3 Th 2.98
7 Tm 0.5000 0.0000 0.5000  6 Se 2.81-2.83
8 Se 0.2569 0.5138 0.2708  3 Tm 2.81, 3 Th 2.98
9 Se 0.2572 0.0106 0.2639  2 Tm 2.83, 1 Li 2.85, 2 Th 2.95
10 Tm 0.5000 0.5000 0.5000  6 Se 2.81-2.83
11 Li 0.0000 0.0000 0.5000  6 Se 2.85
12 Tm 0.0000 0.5000 0.5000  6 Se 2.81-2.83
13 Th 0.0000 0.5000 0.0000  6 Se 2.95-2.98
14 Se 0.7428 0.9894 0.7361  2 Tm 2.83, 1 Li 2.85, 2 Th 2.95
15 Se 0.2466 0.9894 0.7361  2 Tm 2.83, 1 Li 2.85, 2 Th 2.95

## Properties
- calculated total energy (eV per atom) = -6.012
- N(E_F) (states/eV per cell) = 9.36
- SG = R-3m (166)
- formation energy from raw total energies (meV per atom) = -1648
- volume (Å³ per atom) = 25.7